TaCdAu2 (PBE, optimized geometry); energy = -4.75 eV per atom; crystal system = monoclinic
1.0
4.8856 -1.4508 0.0000
4.8856 1.4508 0.0000
-0.8150 0.0000 5.2309
Ta Cd Au
1 1 2
Cartesian
0.0000 0.0000 0.0000
7.1331 0.0000 1.5986
1.8422 0.0000 4.2497
4.5328 0.0000 2.6765